Record 1
BaCuCl2 (PBE-GGA, optimized geometry); calculated total energy = -3.4504 eV/atom; SG = P2/m, No. 10; energy relative to the lowest polymorph listed for this composition = 0.1689 eV/atom; E_form (uncorrected) = -1.022 eV/atom
1.0
-0.306 -1.311 3.907
3.355 -1.968 -0.398
3.334 5.329 2.050
Cl Cu Ba
2 1 1
Direct
0.000 0.249 0.507
0.000 0.251 0.993
0.500 0.250 0.250
0.500 0.750 0.750

Record 2
La3SnO (PBE-GGA, optimized geometry); calculated total energy = -6.2291 eV/atom; SG = C2/m, No. 12; E_form (uncorrected) = -1.480 eV/atom
1.0
-4.014 -3.064 -1.147
5.450 -4.961 5.867
-1.897 5.388 3.934
La Sn O
6 2 2
Direct
0.750 0.717 0.501
0.364 0.613 0.833
0.978 0.510 0.164
0.464 0.995 0.651
0.864 0.113 0.333
0.263 0.232 0.014
0.111 0.871 0.071
0.616 0.356 0.594
0.468 0.518 0.137
0.259 0.709 0.528

Record 3
Tb2TlGa (PBE-GGA, optimized geometry); calculated total energy = -4.1291 eV/atom; SG = P4/mmm, No. 123; energy relative to the lowest polymorph listed for this composition = 0.0000 eV/atom
1.0
3.607 0.000 0.000
0.000 3.607 0.000
0.000 0.000 7.794
Ga Tb Tl
1 2 1
Direct
0.500 0.500 0.000
0.000 0.000 0.768
0.000 0.000 0.232
0.500 0.500 0.500

Record 4
RbIr2Cl (PBE-GGA, optimized geometry); calculated total energy = -3.1973 eV/atom; SG = Fm-3m, No. 225; energy relative to the lowest polymorph listed for this composition = 1.2744 eV/atom; E_form (uncorrected) = 1.937 eV/atom
1.0
0.000 3.452 3.452
3.452 0.000 3.452
3.452 3.452 0.000
Rb Cl Ir
1 1 2
Direct
0.500 0.500 0.500
0.000 0.000 0.000
0.750 0.750 0.750
0.250 0.250 0.250

Record 5
NpZn17Cd (PBE-GGA, optimized geometry); calculated total energy = -1.8749 eV/atom; SG = R3m, No. 160
1.0
6.778 0.064 0.872
0.775 6.734 0.872
0.071 0.064 6.834
Cd Zn Np
1 17 1
Direct
0.396 0.396 0.396
0.986 0.986 0.498
0.652 0.652 0.155
0.652 0.155 0.652
0.348 0.849 0.348
0.348 0.348 0.849
0.986 0.498 0.986
0.297 0.687 0.003
0.687 0.297 0.003
0.297 0.003 0.687
0.687 0.003 0.297
0.155 0.652 0.652
0.003 0.687 0.297
0.498 0.986 0.986
0.099 0.099 0.099
0.003 0.297 0.687
0.898 0.898 0.898
0.849 0.348 0.348
0.660 0.660 0.660

Record 6
La12CeY6 (PBE-GGA, optimized geometry); calculated total energy = -5.4314 eV/atom; SG = R-3, No. 148
1.0
-7.995 -5.299 -1.700
3.904 3.170 -8.343
6.505 -5.088 5.165
La Y Ce
12 6 1
Direct
0.260 0.897 0.844
0.580 0.370 0.054
0.740 0.103 0.156
0.370 0.054 0.580
0.897 0.844 0.260
0.630 0.946 0.420
0.420 0.630 0.946
0.054 0.580 0.370
0.103 0.156 0.740
0.156 0.740 0.103
0.844 0.260 0.897
0.946 0.420 0.630
0.684 0.530 0.786
0.316 0.470 0.214
0.786 0.684 0.530
0.214 0.316 0.470
0.530 0.786 0.684
0.470 0.214 0.316
0.000 0.000 0.000